The following is a PBEsol calculation of LiSc2Ag after structural relaxation, from Alexandria via LeMat-Bulk.

```
LiSc2Ag
1.0
3.382 0.000 0.000
0.000 3.382 0.000
0.000 0.000 6.799
Sc Li Ag
2 1 1
Direct
0.500 0.500 0.280
0.000 0.000 0.978
0.500 0.500 0.714
0.000 0.000 0.527
```

Values from the calculation:
- Electronic total energy: -4.71 eV per atom
- Density of states at the Fermi level: 3.60 states/eV/cell
- Theoretical density: 4.37 g/cm3
- Space-group type: P4mm, No. 99


The following is a PBEsol calculation of CaTcW2 after structural relaxation, from Alexandria via LeMat-Bulk.

```
CaTcW2
1.0
4.525 0.000 0.000
2.262 3.919 0.000
2.262 1.306 3.694
W Tc Ca
2 1 1
Direct
0.250 0.250 0.250
0.750 0.750 0.750
0.500 0.500 0.500
0.000 0.000 0.000
```

Values from the calculation:
- Electronic total energy: -9.40 eV per atom
- Density of states at the Fermi level: 4.57 states/eV/cell
- Relative energy among the computed polymorphs: 139 meV per atom
- Theoretical density: 12.82 g/cm3
- Space-group type: Fm-3m, No. 225


Which of these has the lowest theoretical density? LiSc2Ag


Copy entry 1 word for word.
The following is a PBEsol calculation of LiSc2Ag after structural relaxation, from Alexandria via LeMat-Bulk.

```
LiSc2Ag
1.0
3.382 0.000 0.000
0.000 3.382 0.000
0.000 0.000 6.799
Sc Li Ag
2 1 1
Direct
0.500 0.500 0.280
0.000 0.000 0.978
0.500 0.500 0.714
0.000 0.000 0.527
```

Values from the calculation:
- Electronic total energy: -4.71 eV per atom
- Density of states at the Fermi level: 3.60 states/eV/cell
- Theoretical density: 4.37 g/cm3
- Space-group type: P4mm, No. 99